No. 1
First-principles (PBE-GGA) data for a relaxed structure of Nd2YCd4Si4, as listed in the Open Quantum Materials Database.

Cell: 13.548 13.548 13.548 Å, 162.20 161.45 25.82°
Atoms (fractional coordinates):
Y1 0.000 0.000 0.000
Nd1 0.358 0.858 0.500
Nd2 0.642 0.142 0.500
Cd1 0.091 0.591 0.500
Cd2 0.251 0.251 0.000
Cd3 0.909 0.409 0.500
Cd4 0.749 0.749 0.000
Si1 0.814 0.314 0.500
Si2 0.186 0.686 0.500
Si3 0.456 0.456 0.000
Si4 0.544 0.544 0.000

Output
**DFT total energy**: -4.109 eV/atom
**M_tot**: 0.0 μB/cell
**Space-group type**: Immm (71)

=====

No. 2
First-principles (PBE-GGA) data for a relaxed structure of Sm2O, as listed in the Open Quantum Materials Database.

Cell: 7.433 7.433 7.433 Å, 60.00 60.00 60.00°
Each line ends with the local moment (μB).
Atoms (fractional coordinates):
Sm1 0.375 0.875 0.375  0.53
Sm2 0.375 0.375 0.875  0.53
Sm3 0.875 0.375 0.375  0.37
Sm4 0.375 0.375 0.375  0.52
O1 0.250 0.250 0.250  -0.01
O2 0.500 0.500 0.500  -0.01

Output
**Polymorph energy (0 for the lowest one)**: 0 meV/atom
**M_tot**: 4.5 μB/cell
**Space-group type**: Fd-3m (227)

=====

No. 3
First-principles (PBE-GGA) data for a relaxed structure of BaHgTeO, as listed in the Open Quantum Materials Database.

Cell: 4.369 6.483 7.824 Å, 90.00 73.79 90.00°
Atoms (fractional coordinates):
Te1 0.283 0.250 0.434
Te2 0.717 0.750 0.566
Hg1 0.890 0.250 0.221
Hg2 0.110 0.750 0.779
Ba1 0.581 0.250 0.838
Ba2 0.419 0.750 0.162
O1 0.000 0.000 0.000
O2 0.000 0.500 0.000

Output
**Polymorph energy (0 for the lowest one)**: 187 meV/atom
**Space-group type**: Cmcm (63)

=====

No. 4
First-principles (PBE-GGA) data for a relaxed structure of Li3Au, as listed in the Open Quantum Materials Database.

Cell: 4.518 5.671 4.729 Å, 90.00 90.00 90.00°
Atoms (fractional coordinates):
Au1 0.500 0.000 0.806
Au2 0.000 0.500 0.194
Li1 0.500 0.500 0.846
Li2 0.000 0.747 0.684
Li3 0.000 0.253 0.684
Li4 0.000 0.000 0.154
Li5 0.500 0.753 0.316
Li6 0.500 0.247 0.316

Output
**DFT total energy**: -2.656 eV/atom
**Space-group type**: Pmmn (59)

=====

No. 5
First-principles (PBE-GGA) data for a relaxed structure of LuPtW, as listed in the Open Quantum Materials Database.

Cell: 4.534 4.534 4.534 Å, 60.00 60.00 60.00°
Atoms (fractional coordinates):
W1 0.750 0.750 0.750
Pt1 0.250 0.250 0.250
Lu1 0.000 0.000 0.000

Output
**E_form**: 931.6 meV/atom
**Polymorph energy (0 for the lowest one)**: 764 meV/atom
**M_tot**: 2.8 μB/cell
**Space-group type**: F-43m (216)

=====

No. 6
First-principles (PBE-GGA) data for a relaxed structure of LiMoAuSe2S, as listed in the Open Quantum Materials Database.

Cell: 7.277 7.277 9.920 Å, 90.00 90.00 152.85°
Each line ends with the local moment (μB).
Atoms (fractional coordinates):
Se1 0.361 0.639 0.991  0.03
Se2 0.639 0.361 0.009  0.03
Se3 0.361 0.639 0.509  0.03
Se4 0.639 0.361 0.491  0.03
S1 0.039 0.961 0.750  -0.02
S2 0.961 0.039 0.250  -0.02
Mo1 0.000 0.000 0.500  1.55
Mo2 0.000 0.000 0.000  1.55
Au1 0.666 0.334 0.250  0.04
Au2 0.334 0.666 0.750  0.04
Li1 0.671 0.329 0.750  0.01
Li2 0.329 0.671 0.250  0.01

Output
**DFT total energy**: -4.857 eV/atom
**M_tot**: 3.9 μB/cell
**Space-group type**: Cmcm (63)

=====

No. 7
First-principles (PBE-GGA) data for a relaxed structure of ErScSi4Ni2, as listed in the Open Quantum Materials Database.

Cell: 3.887 8.464 8.464 Å, 26.34 90.00 90.00°
Atoms (fractional coordinates):
Er1 0.500 0.604 0.604
Si1 0.500 0.959 0.959
Si2 0.000 0.038 0.038
Si3 0.500 0.251 0.251
Si4 0.000 0.752 0.752
Sc1 0.000 0.396 0.396
Ni1 0.000 0.175 0.175
Ni2 0.500 0.825 0.825

Output
**DFT total energy**: -6.245 eV/atom
**M_tot**: 0.0 μB/cell
**Space-group type**: Amm2 (38)

=====

No. 8
First-principles (PBE-GGA) data for a relaxed structure of SmGePO, as listed in the Open Quantum Materials Database.

Cell: 5.689 5.689 4.807 Å, 90.00 90.00 90.00°
Atoms (fractional coordinates):
P1 0.750 0.750 0.498
P2 0.250 0.250 0.502
Sm1 0.750 0.250 0.500
Sm2 0.250 0.750 0.500
O1 0.750 0.250 0.000
O2 0.250 0.750 0.000
Ge1 0.250 0.250 0.002
Ge2 0.750 0.750 0.998

Output
**Polymorph energy (0 for the lowest one)**: 354 meV/atom
**M_tot**: 0.0 μB/cell
**Space-group type**: P4/nmm (129)

=====

No. 9
First-principles (PBE-GGA) data for a relaxed structure of CsHoU, as listed in the Open Quantum Materials Database.

Cell: 5.354 5.354 5.354 Å, 60.00 60.00 60.00°
Each line ends with the local moment (μB).
Atoms (fractional coordinates):
Cs1 0.000 0.000 0.000  0.04
U1 0.250 0.250 0.250  2.90
Ho1 0.750 0.750 0.750  0.17

Output
**Polymorph energy (0 for the lowest one)**: 81 meV/atom
**M_tot**: 3.6 μB/cell
**Space-group type**: F-43m (216)

=====

No. 10
First-principles (PBE-GGA) data for a relaxed structure of LuTlNiPt, as listed in the Open Quantum Materials Database.

Cell: 4.722 4.722 4.722 Å, 60.00 60.00 60.00°
Atoms (fractional coordinates):
Tl1 0.000 0.000 0.000
Lu1 0.250 0.250 0.250
Pt1 0.500 0.500 0.500
Ni1 0.750 0.750 0.750

Output
**Polymorph energy (0 for the lowest one)**: 182 meV/atom
**M_tot**: 0.0 μB/cell
**Space-group type**: F-43m (216)

=====

No. 11
First-principles (PBE-GGA) data for a relaxed structure of Pr2Nd2CIBr4, as listed in the Open Quantum Materials Database.

Cell: 9.452 9.452 8.875 Å, 103.17 103.17 24.61°
Atoms (fractional coordinates):
Br1 0.165 0.165 0.324
Br2 0.828 0.828 0.157
Br3 0.835 0.835 0.676
Br4 0.172 0.172 0.843
I1 0.500 0.500 0.500
Pr1 0.001 0.001 0.803
Pr2 0.999 0.999 0.197
C1 0.500 0.500 0.000
Nd1 0.640 0.640 0.072
Nd2 0.360 0.360 0.928

Output
**DFT total energy**: -5.027 eV/atom
**M_tot**: 0.3 μB/cell
**Space-group type**: C2/m (12)

=====

No. 12
First-principles (PBE-GGA) data for a relaxed structure of GdAgSnTe2Se, as listed in the Open Quantum Materials Database.

Cell: 7.619 7.619 10.615 Å, 90.00 90.00 147.21°
Atoms (fractional coordinates):
Te1 0.151 0.849 0.056
Te2 0.849 0.151 0.944
Te3 0.151 0.849 0.444
Te4 0.849 0.151 0.556
Sn1 0.755 0.245 0.250
Sn2 0.245 0.755 0.750
Se1 0.588 0.412 0.750
Se2 0.412 0.588 0.250
Ag1 0.978 0.022 0.750
Ag2 0.022 0.978 0.250
Gd1 0.500 0.500 0.500
Gd2 0.500 0.500 0.000

Output
**DFT total energy**: -4.287 eV/atom
**M_tot**: 0.0 μB/cell
**Space-group type**: Cmcm (63)

=====

Calculated volume / Å³/f.u.: 242, 145, 106, 61, 66, 120, 124, 78, 109, 74, 321, 167